(1)
A relaxed structure of Rb3NaTi2Cl9, computed with GGA-PBE.

Values from the calculation:
Symmetry: P-3m1
Calculated density in g cm⁻³: 2.833
Volume in Å³/atom: 27.12
Total magnetic moment in μB per cell: 3.0
E in eV per formula unit: -62.866
Density of states at the Fermi level in states/eV per atom: 0.5041

a = 7.242 Å, b = 7.242 Å, c = 8.959 Å
α = 90.00°, β = 90.00°, γ = 120.00°
Last column: magnetic moment on the atom in μB.
Atoms (fractional coordinates):
1 Na 0.000 0.000 0.500  0.00
2 Cl 0.825 0.651 0.685  0.00
3 Cl 0.175 0.349 0.315  0.00
4 Cl 0.825 0.175 0.685  0.00
5 Cl 0.175 0.825 0.315  0.00
6 Cl 0.000 0.500 0.000  -0.02
7 Cl 0.500 0.500 0.000  -0.02
8 Cl 0.349 0.175 0.685  0.00
9 Cl 0.651 0.825 0.315  0.00
10 Cl 0.500 0.000 0.000  -0.02
11 Rb 0.000 0.000 0.000  0.00
12 Rb 0.667 0.333 0.350  0.00
13 Rb 0.333 0.667 0.650  0.00
14 Ti 0.667 0.333 0.844  1.28
15 Ti 0.333 0.667 0.156  1.28



(2)
A relaxed structure of RbNaTl2Cl8, computed with GGA-PBE.

Values from the calculation:
Symmetry: I-4
Calculated density in g cm⁻³: 3.467
Volume in Å³/atom: 31.97
Total magnetic moment in μB per cell: 0.0
E in eV per formula unit: -34.793
Density of states at the Fermi level in states/eV per atom: 0.0000

a = 6.947 Å, b = 6.947 Å, c = 9.345 Å
α = 111.82°, β = 111.82°, γ = 90.00°
Atoms (fractional coordinates):
1 Cl 0.317 0.911 0.323
2 Cl 0.089 0.994 0.677
3 Cl 0.754 0.834 0.155
4 Cl 0.400 0.321 0.155
5 Cl 0.679 0.246 0.845
6 Cl 0.006 0.412 0.323
7 Cl 0.588 0.683 0.677
8 Cl 0.166 0.600 0.845
9 Na 0.000 0.000 0.000
10 Tl 0.250 0.750 0.500
11 Tl 0.500 0.500 0.000
12 Rb 0.750 0.250 0.500



(3)
A relaxed structure of Rb3Na2TlCl6, computed with GGA-PBE.

Values from the calculation:
Symmetry: C2/m
Calculated density in g cm⁻³: 3.110
Volume in Å³/atom: 32.01
Total magnetic moment in μB per cell: 0.0
E in eV per formula unit: -39.494
Density of states at the Fermi level in states/eV per atom: 0.0000

a = 4.491 Å, b = 9.024 Å, c = 9.997 Å
α = 102.95°, β = 102.98°, γ = 90.00°
Atoms (fractional coordinates):
1 Rb 0.837 0.166 0.674
2 Rb 0.163 0.834 0.326
3 Rb 0.500 0.500 0.000
4 Tl 0.500 0.000 0.000
5 Cl 0.986 0.744 0.971
6 Cl 0.675 0.567 0.350
7 Cl 0.332 0.888 0.663
8 Cl 0.325 0.433 0.650
9 Cl 0.014 0.256 0.029
10 Cl 0.668 0.112 0.337
11 Na 0.172 0.343 0.345
12 Na 0.828 0.657 0.655



(4)
A relaxed structure of RbNaTlCl6, computed with GGA-PBE.

Values from the calculation:
Symmetry: Cm
Calculated density in g cm⁻³: 3.084
Volume in Å³/atom: 31.44
Total magnetic moment in μB per cell: 0.0
E in eV per formula unit: -25.656
Density of states at the Fermi level in states/eV per atom: 0.1705

a = 6.957 Å, b = 6.957 Å, c = 8.122 Å
α = 92.99°, β = 92.98°, γ = 46.14°
Atoms (fractional coordinates):
1 Cl 0.559 0.448 0.862
2 Cl 0.196 0.085 0.637
3 Cl 0.579 0.468 0.380
4 Cl 0.579 0.965 0.149
5 Cl 0.876 0.765 0.618
6 Cl 0.076 0.468 0.149
7 Tl 0.687 0.576 0.650
8 Na 0.370 0.259 0.444
9 Rb 0.077 0.966 0.112



(5)
A relaxed structure of Rb3NaTl2Cl9, computed with GGA-PBE.

Values from the calculation:
Symmetry: P-3m1
Calculated density in g cm⁻³: 3.497
Volume in Å³/atom: 31.89
Total magnetic moment in μB per cell: 0.0
E in eV per formula unit: -46.014
Density of states at the Fermi level in states/eV per atom: 0.1569

a = 7.651 Å, b = 7.651 Å, c = 9.435 Å
α = 90.00°, β = 90.00°, γ = 120.00°
Atoms (fractional coordinates):
1 Rb 0.667 0.333 0.351
2 Rb 0.000 0.000 0.000
3 Rb 0.333 0.667 0.649
4 Cl 0.168 0.335 0.329
5 Cl 0.335 0.168 0.671
6 Cl 0.168 0.832 0.329
7 Cl 0.832 0.665 0.671
8 Cl 0.832 0.168 0.671
9 Cl 0.500 0.000 0.000
10 Cl 0.665 0.832 0.329
11 Cl 0.500 0.500 0.000
12 Cl 0.000 0.500 0.000
13 Na 0.000 0.000 0.500
14 Tl 0.333 0.667 0.172
15 Tl 0.667 0.333 0.828



(6)
A relaxed structure of RbNa2TlCl6, computed with GGA-PBE.

Values from the calculation:
Symmetry: R3
Calculated density in g cm⁻³: 3.050
Volume in Å³/atom: 29.86
Total magnetic moment in μB per cell: 0.0
E in eV per formula unit: -30.892
Density of states at the Fermi level in states/eV per atom: 0.0000

a = 7.213 Å, b = 7.212 Å, c = 7.830 Å
α = 62.58°, β = 62.56°, γ = 59.97°
Atoms (fractional coordinates):
1 Cl 0.723 0.174 0.760
2 Cl 0.344 0.722 0.760
3 Cl 0.252 0.946 0.229
4 Cl 0.946 0.572 0.229
5 Cl 0.572 0.252 0.229
6 Cl 0.174 0.344 0.760
7 Na 0.003 0.003 0.990
8 Na 0.521 0.521 0.438
9 Tl 0.326 0.326 0.022
10 Rb 0.801 0.801 0.598



(7)
A relaxed structure of Rb2NaTl3Cl6, computed with GGA-PBE.

Values from the calculation:
Symmetry: C2/m
Calculated density in g cm⁻³: 4.211
Volume in Å³/atom: 33.51
Total magnetic moment in μB per cell: 0.0
E in eV per formula unit: -38.727
Density of states at the Fermi level in states/eV per atom: 0.0000

a = 7.913 Å, b = 7.913 Å, c = 7.879 Å
α = 99.74°, β = 99.74°, γ = 119.98°
Atoms (fractional coordinates):
1 Rb 0.667 0.333 0.000
2 Rb 0.333 0.667 0.000
3 Cl 0.079 0.377 0.233
4 Cl 0.623 0.921 0.767
5 Cl 0.377 0.079 0.233
6 Cl 0.921 0.623 0.767
7 Cl 0.773 0.773 0.250
8 Cl 0.227 0.227 0.750
9 Tl 0.500 0.500 0.500
10 Tl 0.834 0.166 0.500
11 Tl 0.166 0.834 0.500
12 Na 0.000 0.000 0.000



(8)
A relaxed structure of Rb3NaTl3Cl8, computed with GGA-PBE.

Values from the calculation:
Symmetry: C2/m
Calculated density in g cm⁻³: 3.674
Volume in Å³/atom: 35.44
Total magnetic moment in μB per cell: 0.0
E in eV per formula unit: -47.055
Density of states at the Fermi level in states/eV per atom: 0.4318

a = 9.344 Å, b = 9.220 Å, c = 8.749 Å
α = 119.73°, β = 90.00°, γ = 120.45°
Atoms (fractional coordinates):
1 Tl 0.000 0.000 0.000
2 Tl 0.000 0.500 0.000
3 Tl 0.500 0.500 0.000
4 Na 0.000 0.000 0.500
5 Rb 0.500 0.000 0.500
6 Rb 0.000 0.500 0.500
7 Rb 0.500 0.500 0.500
8 Cl 0.784 0.568 0.279
9 Cl 0.792 0.004 0.757
10 Cl 0.208 0.996 0.243
11 Cl 0.788 0.996 0.243
12 Cl 0.763 0.527 0.765
13 Cl 0.216 0.432 0.721
14 Cl 0.212 0.004 0.757
15 Cl 0.237 0.473 0.235



(9)
A relaxed structure of RbNa2TlCl4, computed with GGA-PBE.

Values from the calculation:
Symmetry: P2/m
Calculated density in g cm⁻³: 3.419
Volume in Å³/atom: 29.00
Total magnetic moment in μB per cell: 0.0
E in eV per formula unit: -26.287
Density of states at the Fermi level in states/eV per atom: 0.0000

a = 4.299 Å, b = 7.663 Å, c = 7.442 Å
α = 71.13°, β = 90.00°, γ = 90.00°
Atoms (fractional coordinates):
1 Cl 0.500 0.213 0.760
2 Cl 0.000 0.788 0.735
3 Cl 0.000 0.212 0.265
4 Cl 0.500 0.787 0.240
5 Tl 0.000 0.500 0.500
6 Rb 0.500 0.500 0.000
7 Na 0.000 0.000 0.000
8 Na 0.500 0.000 0.500



(10)
A relaxed structure of Rb2NaTlCl4, computed with GGA-PBE.

Values from the calculation:
Symmetry: P2/m
Calculated density in g cm⁻³: 3.379
Volume in Å³/atom: 33.18
Total magnetic moment in μB per cell: 0.0
E in eV per formula unit: -26.180
Density of states at the Fermi level in states/eV per atom: 0.0000

a = 4.545 Å, b = 7.834 Å, c = 7.894 Å
α = 70.77°, β = 90.00°, γ = 90.00°
Atoms (fractional coordinates):
1 Rb 0.000 0.000 0.000
2 Rb 0.500 0.000 0.500
3 Cl 0.500 0.274 0.729
4 Cl 0.000 0.731 0.736
5 Cl 0.500 0.726 0.271
6 Cl 0.000 0.269 0.264
7 Tl 0.500 0.500 0.000
8 Na 0.000 0.500 0.500



(11)
A relaxed structure of RbNaUCl6, computed with GGA-PBE.

Values from the calculation:
Symmetry: P-31c
Calculated density in g cm⁻³: 2.882
Volume in Å³/atom: 35.80
Total magnetic moment in μB per cell: 4.0
E in eV per formula unit: -41.279
Density of states at the Fermi level in states/eV per atom: 0.5768

a = 7.203 Å, b = 7.203 Å, c = 14.343 Å
α = 90.00°, β = 90.00°, γ = 120.00°
Last column: magnetic moment on the atom in μB.
Atoms (fractional coordinates):
1 Cl 0.023 0.642 0.856  -0.02
2 Cl 0.358 0.977 0.644  -0.02
3 Cl 0.977 0.619 0.356  -0.02
4 Cl 0.642 0.619 0.144  -0.02
5 Cl 0.619 0.642 0.644  -0.02
6 Cl 0.023 0.381 0.644  -0.02
7 Cl 0.381 0.023 0.144  -0.02
8 Cl 0.642 0.023 0.356  -0.02
9 Cl 0.381 0.358 0.356  -0.02
10 Cl 0.619 0.977 0.856  -0.02
11 Cl 0.358 0.381 0.856  -0.02
12 Cl 0.977 0.358 0.144  -0.02
13 Rb 0.000 0.000 0.500  0.00
14 Rb 0.000 0.000 0.000  0.00
15 U 0.667 0.333 0.250  2.06
16 U 0.333 0.667 0.750  2.06
17 Na 0.667 0.333 0.750  0.00
18 Na 0.333 0.667 0.250  0.00